Record 1
Computed, not measured: an optimized crystal structure of SiIrPd3 at the PBE-GGA level of DFT.

Cell: 4.430 4.430 4.430 Å, 90.00 90.00 90.00°
Last column: magnetic moment on the atom in μB.
Element x y z (fractional)
Si1 0.000 0.000 0.000  0.01
Ir1 0.500 0.500 0.500  0.87
Pd1 0.000 0.500 0.000  0.01
Pd2 0.000 0.000 0.500  0.04
Pd3 0.500 0.000 0.000  0.04

Properties
Its total energy is -0.3967 Ry/atom. The value obtained for the theoretical density is 10.3 g/cm3. Its uncorrected formation energy is 575 meV/atom. As for the energy above the most stable polymorph in this dataset: 0.000 eV per atom.

***

Record 2
Computed, not measured: an optimized crystal structure of Si2Ir2Pd at the PBE-GGA level of DFT.

Cell: 7.154 7.154 2.774 Å, 90.00 90.00 90.00°
Element x y z (fractional)
Si1 0.155 0.655 0.500
Si2 0.655 0.845 0.500
Si3 0.845 0.345 0.500
Si4 0.345 0.155 0.500
Ir1 0.358 0.858 0.000
Ir2 0.858 0.642 0.000
Ir3 0.642 0.142 0.000
Ir4 0.142 0.358 0.000
Pd1 0.000 0.000 0.000
Pd2 0.500 0.500 0.000

Properties
Its total energy is -0.5324 Ry/atom. The value obtained for the theoretical density is 12.8 g/cm3. Its uncorrected formation energy is -491 meV/atom. As for the energy above the most stable polymorph in this dataset: 0.066 eV per atom.

***

Record 3
Computed, not measured: an optimized crystal structure of SiIr2Pd at the PBE-GGA level of DFT.

Cell: 3.722 3.722 9.436 Å, 78.63 78.63 90.00°
Element x y z (fractional)
Si1 0.500 0.500 0.000
Si2 0.250 0.750 0.500
Ir1 0.619 0.125 0.250
Ir2 0.131 0.625 0.250
Ir3 0.375 0.381 0.750
Ir4 0.875 0.869 0.750
Pd1 0.000 0.000 0.000
Pd2 0.750 0.250 0.500

Properties
Its total energy is -0.5018 Ry/atom. The value obtained for the theoretical density is 13.7 g/cm3. Its uncorrected formation energy is 257 meV/atom.

***

Record 4
Computed, not measured: an optimized crystal structure of SiIr3Pd at the PBE-GGA level of DFT.

Cell: 4.738 4.738 4.738 Å, 90.00 90.00 90.00°
Last column: magnetic moment on the atom in μB.
Element x y z (fractional)
Si1 0.500 0.500 0.500  -0.02
Ir1 0.000 0.500 0.000  0.56
Ir2 0.000 0.000 0.500  1.03
Ir3 0.500 0.000 0.000  0.35
Pd1 0.000 0.000 0.000  0.47

Properties
Its total energy is -0.3839 Ry/atom. The value obtained for the theoretical density is 11.1 g/cm3. Its uncorrected formation energy is 2217 meV/atom. As for the energy above the most stable polymorph in this dataset: 1.408 eV per atom.

***

Look up the uncorrected formation energy of the third one. 257 meV/atom

***

Copy entry 3 word for word.
Computed, not measured: an optimized crystal structure of SiIr2Pd at the PBE-GGA level of DFT.

Cell: 3.722 3.722 9.436 Å, 78.63 78.63 90.00°
Element x y z (fractional)
Si1 0.500 0.500 0.000
Si2 0.250 0.750 0.500
Ir1 0.619 0.125 0.250
Ir2 0.131 0.625 0.250
Ir3 0.375 0.381 0.750
Ir4 0.875 0.869 0.750
Pd1 0.000 0.000 0.000
Pd2 0.750 0.250 0.500

Properties
Its total energy is -0.5018 Ry/atom. The value obtained for the theoretical density is 13.7 g/cm3. Its uncorrected formation energy is 257 meV/atom.

***

What did the fourth record say?
Computed, not measured: an optimized crystal structure of SiIr3Pd at the PBE-GGA level of DFT.

Cell: 4.738 4.738 4.738 Å, 90.00 90.00 90.00°
Last column: magnetic moment on the atom in μB.
Element x y z (fractional)
Si1 0.500 0.500 0.500  -0.02
Ir1 0.000 0.500 0.000  0.56
Ir2 0.000 0.000 0.500  1.03
Ir3 0.500 0.000 0.000  0.35
Pd1 0.000 0.000 0.000  0.47

Properties
Its total energy is -0.3839 Ry/atom. The value obtained for the theoretical density is 11.1 g/cm3. Its uncorrected formation energy is 2217 meV/atom. As for the energy above the most stable polymorph in this dataset: 1.408 eV per atom.